# 1
PaSiMo2, optimized geometry, DFT GGA-PBE; energy = -9.213 eV/atom; density of states at the Fermi level = 4.2 states/eV/f.u.; ρ = 10.86 Mg/m³; E above lowest polymorph = 88 meV per atom; space-group type = No. 225; formation energy without anion corrections = -6.5 kJ per mole of atoms; volume = 69 Å³/cell
1.0
0.000 3.255 3.255
3.255 0.000 3.255
3.255 3.255 0.000
Pa Si Mo
1 1 2
direct
0.000 0.000 0.000 Pa
0.500 0.500 0.500 Si
0.250 0.250 0.250 Mo
0.750 0.750 0.750 Mo

***

# 2
PaSiMo2, optimized geometry, DFT GGA-PBE; energy = -9.301 eV/atom; density of states at the Fermi level = 4.3 states/eV/f.u.; ρ = 10.09 Mg/m³; E above lowest polymorph = 0 meV per atom; space-group type = No. 59; formation energy without anion corrections = -15.0 kJ per mole of atoms; volume = 148 Å³/cell
1.0
4.218 0.000 0.000
0.000 5.641 0.000
0.000 0.000 6.239
Pa Si Mo
2 2 4
direct
0.250 0.250 0.096 Pa
0.750 0.750 0.904 Pa
0.250 0.750 0.248 Si
0.750 0.250 0.752 Si
0.250 0.520 0.624 Mo
0.250 0.980 0.624 Mo
0.750 0.020 0.376 Mo
0.750 0.480 0.376 Mo

***

# 3
Pa2SiMo, optimized geometry, DFT GGA-PBE; energy = -8.755 eV/atom; density of states at the Fermi level = 5.1 states/eV/f.u.; ρ = 11.31 Mg/m³; E above lowest polymorph = 284 meV per atom; space-group type = No. 166; formation energy without anion corrections = 5.4 kJ per mole of atoms; volume = 86 Å³/cell
1.0
2.293 1.324 4.725
-2.293 1.324 4.725
0.000 -2.647 4.725
Pa Si Mo
2 1 1
direct
0.246 0.246 0.246 Pa
0.754 0.754 0.754 Pa
0.000 0.000 0.000 Si
0.500 0.500 0.500 Mo

***

# 4
Pa2SiMo, optimized geometry, DFT GGA-PBE; energy = -9.021 eV/atom; density of states at the Fermi level = 3.9 states/eV/f.u.; ρ = 11.72 Mg/m³; E above lowest polymorph = 19 meV per atom; space-group type = No. 123; formation energy without anion corrections = -20.2 kJ per mole of atoms; volume = 83 Å³/cell
1.0
3.676 0.000 0.000
0.000 3.676 0.000
0.000 0.000 6.142
Pa Si Mo
2 1 1
direct
0.000 0.000 0.230 Pa
0.000 0.000 0.770 Pa
0.500 0.500 0.000 Si
0.500 0.500 0.500 Mo

***

# 5
PaSiMo, optimized geometry, DFT GGA-PBE; energy = -9.014 eV/atom; density of states at the Fermi level = 3.2 states/eV/f.u.; ρ = 10.40 Mg/m³; E above lowest polymorph = 0 meV per atom; space-group type = No. 62; formation energy without anion corrections = -41.5 kJ per mole of atoms; volume = 227 Å³/cell
1.0
6.932 0.000 0.000
0.000 4.561 0.000
0.000 0.000 7.174
Pa Si Mo
4 4 4
direct
0.018 0.250 0.194 Pa
0.482 0.750 0.694 Pa
0.518 0.250 0.306 Pa
0.982 0.750 0.806 Pa
0.208 0.250 0.613 Si
0.292 0.750 0.113 Si
0.708 0.250 0.887 Si
0.792 0.750 0.387 Si
0.160 0.750 0.457 Mo
0.340 0.250 0.957 Mo
0.660 0.750 0.043 Mo
0.840 0.250 0.543 Mo

***

# 6
PaSiTcMo, optimized geometry, DFT GGA-PBE; energy = -9.196 eV/atom; density of states at the Fermi level = 6.7 states/eV/f.u.; ρ = 11.02 Mg/m³; space-group type = No. 216; formation energy without anion corrections = -16.1 kJ per mole of atoms; volume = 68 Å³/cell
1.0
0.000 3.244 3.244
3.244 0.000 3.244
3.244 3.244 0.000
Pa Si Tc Mo
1 1 1 1
direct
0.000 0.000 0.000 Pa
0.500 0.500 0.500 Si
0.750 0.750 0.750 Tc
0.250 0.250 0.250 Mo

***

# 7
ThPaSi2Mo, optimized geometry, DFT GGA-PBE; energy = -8.139 eV/atom; density of states at the Fermi level = 5.0 states/eV/f.u.; ρ = 9.60 Mg/m³; space-group type = No. 119; formation energy without anion corrections = -40.5 kJ per mole of atoms; volume = 106 Å³/cell
1.0
-2.058 2.058 6.280
2.058 -2.058 6.280
2.058 2.058 -6.280
Th Pa Si Mo
1 1 2 1
direct
0.000 0.000 0.000 Th
0.250 0.750 0.500 Pa
0.405 0.405 0.000 Si
0.595 0.595 0.000 Si
0.750 0.250 0.500 Mo

***

# 8
PaVSi2Mo, optimized geometry, DFT GGA-PBE; energy = -8.543 eV/atom; density of states at the Fermi level = 5.9 states/eV/f.u.; ρ = 8.45 Mg/m³; space-group type = No. 119; formation energy without anion corrections = -46.8 kJ per mole of atoms; volume = 85 Å³/cell
1.0
-1.950 1.950 5.612
1.950 -1.950 5.612
1.950 1.950 -5.612
Pa V Si Mo
1 1 2 1
direct
0.000 0.000 0.000 Pa
0.750 0.250 0.500 V
0.394 0.394 0.000 Si
0.606 0.606 0.000 Si
0.250 0.750 0.500 Mo

***

# 9
PaSi2MoW, optimized geometry, DFT GGA-PBE; energy = -9.162 eV/atom; density of states at the Fermi level = 7.0 states/eV/f.u.; ρ = 10.72 Mg/m³; space-group type = No. 119; formation energy without anion corrections = -32.5 kJ per mole of atoms; volume = 88 Å³/cell
1.0
-1.974 1.974 5.632
1.974 -1.974 5.632
1.974 1.974 -5.632
Pa Si Mo W
1 2 1 1
direct
0.000 0.000 0.000 Pa
0.396 0.396 0.000 Si
0.604 0.604 0.000 Si
0.750 0.250 0.500 Mo
0.250 0.750 0.500 W

***

# 10
SmPa2Mo, optimized geometry, DFT GGA-PBE; energy = -8.413 eV/atom; density of states at the Fermi level = 8.5 states/eV/f.u.; ρ = 11.79 Mg/m³; E above lowest polymorph = 0 meV per atom; space-group type = No. 123; volume = 100 Å³/cell
1.0
3.410 0.000 0.000
0.000 3.410 0.000
0.000 0.000 8.577
Sm Pa Mo
1 2 1
direct
0.000 0.000 0.000 Sm
0.500 0.500 0.296 Pa
0.500 0.500 0.704 Pa
0.000 0.000 0.500 Mo

***

# 11
SmPa2Mo, optimized geometry, DFT GGA-PBE; energy = -8.195 eV/atom; density of states at the Fermi level = 7.1 states/eV/f.u.; ρ = 10.90 Mg/m³; E above lowest polymorph = 218 meV per atom; space-group type = No. 166; volume = 108 Å³/cell
1.0
1.865 1.077 8.959
-1.865 1.077 8.959
0.000 -2.153 8.959
Sm Pa Mo
1 2 1
direct
0.000 0.000 0.000 Sm
0.230 0.230 0.230 Pa
0.770 0.770 0.770 Pa
0.500 0.500 0.500 Mo

***

# 12
PaSnMo4, optimized geometry, DFT GGA-PBE; energy = -9.247 eV/atom; density of states at the Fermi level = 6.2 states/eV/f.u.; ρ = 10.63 Mg/m³; space-group type = No. 216; volume = 115 Å³/cell
1.0
0.000 3.855 3.855
3.855 0.000 3.855
3.855 3.855 0.000
Pa Sn Mo
1 1 4
direct
0.000 0.000 0.000 Pa
0.750 0.750 0.750 Sn
0.376 0.376 0.376 Mo
0.376 0.376 0.873 Mo
0.376 0.873 0.376 Mo
0.873 0.376 0.376 Mo

***

# 13
PaTiSnMo, optimized geometry, DFT GGA-PBE; energy = -8.174 eV/atom; density of states at the Fermi level = 4.6 states/eV/f.u.; ρ = 10.54 Mg/m³; space-group type = No. 216; volume = 78 Å³/cell
1.0
0.000 3.387 3.387
3.387 0.000 3.387
3.387 3.387 0.000
Pa Ti Sn Mo
1 1 1 1
direct
0.000 0.000 0.000 Pa
0.750 0.750 0.750 Ti
0.500 0.500 0.500 Sn
0.250 0.250 0.250 Mo

***

# 14
PaVSnMo, optimized geometry, DFT GGA-PBE; energy = -7.987 eV/atom; density of states at the Fermi level = 5.5 states/eV/f.u.; ρ = 10.38 Mg/m³; space-group type = No. 216; volume = 79 Å³/cell
1.0
0.000 3.413 3.413
3.413 0.000 3.413
3.413 3.413 0.000
Pa V Sn Mo
1 1 1 1
direct
0.000 0.000 0.000 Pa
0.500 0.500 0.500 V
0.750 0.750 0.750 Sn
0.250 0.250 0.250 Mo

***

# 15
PaTa2Mo, optimized geometry, DFT GGA-PBE; energy = -10.908 eV/atom; density of states at the Fermi level = 6.3 states/eV/f.u.; ρ = 14.47 Mg/m³; space-group type = No. 123; volume = 79 Å³/cell
1.0
3.204 0.000 0.000
0.000 3.204 0.000
0.000 0.000 7.697
Pa Ta Mo
1 2 1
direct
0.000 0.000 0.000 Pa
0.500 0.500 0.295 Ta
0.500 0.500 0.705 Ta
0.000 0.000 0.500 Mo

***

# 16
PaTa2Mo, optimized geometry, DFT GGA-PBE; energy = -10.909 eV/atom; density of states at the Fermi level = 2.7 states/eV/f.u.; ρ = 15.15 Mg/m³; space-group type = No. 225; volume = 76 Å³/cell
1.0
0.000 3.355 3.355
3.355 0.000 3.355
3.355 3.355 0.000
Pa Ta Mo
1 2 1
direct
0.000 0.000 0.000 Pa
0.250 0.250 0.250 Ta
0.750 0.750 0.750 Ta
0.500 0.500 0.500 Mo

***

# 17
PaTaTcMo, optimized geometry, DFT GGA-PBE; energy = -10.778 eV/atom; density of states at the Fermi level = 4.1 states/eV/f.u.; ρ = 13.71 Mg/m³; space-group type = No. 216; volume = 73 Å³/cell
1.0
0.000 3.323 3.323
3.323 0.000 3.323
3.323 3.323 0.000
Pa Ta Tc Mo
1 1 1 1
direct
0.000 0.000 0.000 Pa
0.500 0.500 0.500 Ta
0.750 0.750 0.750 Tc
0.250 0.250 0.250 Mo

***

# 18
PaTaTiMo, optimized geometry, DFT GGA-PBE; energy = -10.020 eV/atom; density of states at the Fermi level = 4.0 states/eV/f.u.; ρ = 12.43 Mg/m³; space-group type = No. 216; volume = 74 Å³/cell
1.0
0.000 3.336 3.336
3.336 0.000 3.336
3.336 3.336 0.000
Pa Ta Ti Mo
1 1 1 1
direct
0.000 0.000 0.000 Pa
0.750 0.750 0.750 Ta
0.500 0.500 0.500 Ti
0.250 0.250 0.250 Mo

***

# 19
PaTaMoW, optimized geometry, DFT GGA-PBE; energy = -11.226 eV/atom; density of states at the Fermi level = 4.1 states/eV/f.u.; ρ = 15.40 Mg/m³; space-group type = No. 216; volume = 75 Å³/cell
1.0
0.000 3.341 3.341
3.341 0.000 3.341
3.341 3.341 0.000
Pa Ta Mo W
1 1 1 1
direct
0.000 0.000 0.000 Pa
0.500 0.500 0.500 Ta
0.250 0.250 0.250 Mo
0.750 0.750 0.750 W

***

# 20
ZrPaTaMo, optimized geometry, DFT GGA-PBE; energy = -10.092 eV/atom; density of states at the Fermi level = 5.2 states/eV/f.u.; ρ = 12.27 Mg/m³; space-group type = No. 216; volume = 81 Å³/cell
1.0
0.000 3.435 3.435
3.435 0.000 3.435
3.435 3.435 0.000
Zr Pa Ta Mo
1 1 1 1
direct
0.000 0.000 0.000 Zr
0.500 0.500 0.500 Pa
0.750 0.750 0.750 Ta
0.250 0.250 0.250 Mo